# 1
# CrHNO2 GGA+U optimized geometry
data_CrHNO2
_cell_length_a 3.713
_cell_length_b 3.713
_cell_length_c 2.605
_cell_angle_alpha 90.00
_cell_angle_beta 90.00
_cell_angle_gamma 90.00
_symmetry_space_group_name_H-M 'P 1'
_symmetry_Int_Tables_number 1
loop_
_symmetry_equiv_pos_as_xyz
'x,y,z'
loop_
_atom_site_label
_atom_site_type_symbol
_atom_site_fract_x
_atom_site_fract_y
_atom_site_fract_z
O1 O 0.500 0.000 0.000
O2 O 0.000 0.500 0.000
Cr1 Cr 0.500 0.500 0.500
H1 H 0.000 0.000 0.000
N1 N 0.000 0.000 0.500
# Crystal system: tetragonal
# N(E_F), states/eV per atom: 0.7166
# VASP energy, eV/atom: -4.76

---

# 2
# CrH12N3O8 GGA+U optimized geometry
data_CrH12N3O8
_cell_length_a 6.995
_cell_length_b 6.995
_cell_length_c 9.166
_cell_angle_alpha 90.00
_cell_angle_beta 90.00
_cell_angle_gamma 83.39
_symmetry_space_group_name_H-M 'P 1'
_symmetry_Int_Tables_number 1
loop_
_symmetry_equiv_pos_as_xyz
'x,y,z'
loop_
_atom_site_label
_atom_site_type_symbol
_atom_site_fract_x
_atom_site_fract_y
_atom_site_fract_z
H1 H 0.129 0.715 0.380
H2 H 0.850 0.274 0.476
H3 H 0.168 0.168 0.048
H4 H 0.274 0.850 0.476
H5 H 0.856 0.666 0.680
H6 H 0.150 0.726 0.976
H7 H 0.832 0.832 0.548
H8 H 0.391 0.723 0.012
H9 H 0.609 0.277 0.512
H10 H 0.285 0.871 0.880
H11 H 0.723 0.391 0.012
H12 H 0.144 0.334 0.180
H13 H 0.318 0.626 0.856
H14 H 0.374 0.682 0.356
H15 H 0.871 0.285 0.880
H16 H 0.666 0.856 0.680
H17 H 0.715 0.129 0.380
H18 H 0.626 0.318 0.856
H19 H 0.277 0.609 0.512
H20 H 0.897 0.897 0.715
H21 H 0.103 0.103 0.215
H22 H 0.726 0.150 0.976
H23 H 0.682 0.374 0.356
H24 H 0.334 0.144 0.180
O1 O 0.939 0.650 0.031
O2 O 0.026 0.447 0.670
O3 O 0.974 0.553 0.170
O4 O 0.402 0.402 0.775
O5 O 0.849 0.849 0.359
O6 O 0.650 0.939 0.031
O7 O 0.579 0.579 0.119
O8 O 0.350 0.061 0.531
O9 O 0.598 0.598 0.275
O10 O 0.940 0.940 0.241
O11 O 0.421 0.421 0.619
O12 O 0.447 0.026 0.670
O13 O 0.151 0.151 0.859
O14 O 0.553 0.974 0.170
O15 O 0.061 0.350 0.531
O16 O 0.060 0.060 0.741
N1 N 0.190 0.190 0.158
N2 N 0.714 0.260 0.431
N3 N 0.260 0.714 0.431
N4 N 0.740 0.286 0.931
N5 N 0.810 0.810 0.658
N6 N 0.286 0.740 0.931
Cr1 Cr 0.239 0.239 0.675
Cr2 Cr 0.761 0.761 0.175
# Crystal system: orthorhombic
# VASP energy, eV/atom: -5.20

---

# 3
# CrHNO2 GGA+U optimized geometry
data_CrHNO2
_cell_length_a 3.661
_cell_length_b 3.661
_cell_length_c 3.948
_cell_angle_alpha 90.00
_cell_angle_beta 90.00
_cell_angle_gamma 90.00
_symmetry_space_group_name_H-M 'P 1'
_symmetry_Int_Tables_number 1
loop_
_symmetry_equiv_pos_as_xyz
'x,y,z'
loop_
_atom_site_label
_atom_site_type_symbol
_atom_site_fract_x
_atom_site_fract_y
_atom_site_fract_z
O1 O 0.500 0.000 0.000
O2 O 0.000 0.500 0.000
N1 N 0.000 0.000 0.500
H1 H 0.500 0.500 0.500
Cr1 Cr 0.000 0.000 0.000
# Crystal system: tetragonal
# N(E_F), states/eV per atom: 0.2515
# VASP energy, eV/atom: -5.35